[1]
A relaxed Sr8N4F3 crystal, computed with PBE.

DFT total energy: -5.010 eV per atom
N(E_F): 0.146 states/eV/atom

a b c (Å): 7.648 7.648 7.576
angles (deg): 119.44 119.44 91.37
Fractional positions:
Sr: 0.220 0.220 0.467
Sr: 0.236 0.764 0.000
Sr: 0.238 0.762 0.500
Sr: 0.240 0.240 0.990
Sr: 0.760 0.760 0.010
Sr: 0.762 0.238 0.500
Sr: 0.764 0.236 0.000
Sr: 0.780 0.780 0.533
N: 0.000 0.000 0.000
N: 0.000 0.000 0.500
N: 0.000 0.500 0.000
N: 0.500 0.000 0.000
F: 0.000 0.500 0.500
F: 0.500 0.000 0.500
F: 0.500 0.500 0.500

[2]
A relaxed ZrTa2Hg crystal, computed with PBE.

Calculated formation energy: 82 meV per atom
DFT total energy: -8.057 eV per atom
N(E_F): 1.061 states/eV/atom

a b c (Å): 3.508 4.764 9.546
angles (deg): 90.00 90.00 90.00
Fractional positions:
Zr: 0.000 0.000 0.000
Zr: 0.500 0.500 0.000
Ta: 0.000 0.000 0.478
Ta: 0.000 0.500 0.248
Ta: 0.500 0.000 0.248
Ta: 0.500 0.500 0.478
Hg: 0.000 0.500 0.732
Hg: 0.500 0.000 0.732

[3]
A relaxed PBr crystal, computed with PBE.

Distance to the lowest polymorph of the same formula: 181 meV per atom
DFT total energy: -3.491 eV per atom

a b c (Å): 13.305 3.457 8.503
angles (deg): 90.00 112.62 90.00
Fractional positions:
P: 0.000 0.000 0.000
P: 0.009 0.000 0.648
P: 0.045 0.500 0.853
P: 0.500 0.500 0.000
P: 0.509 0.500 0.648
P: 0.545 0.000 0.853
Br: 0.030 0.500 0.238
Br: 0.226 0.500 0.908
Br: 0.329 0.500 0.508
Br: 0.530 0.000 0.238
Br: 0.726 0.000 0.908
Br: 0.829 0.000 0.508

[4]
A relaxed CaCrIn2 crystal, computed with PBE.

Calculated formation energy: 92 meV per atom
DFT total energy: -4.183 eV per atom
N(E_F): 0.431 states/eV/atom

a b c (Å): 3.666 4.949 5.329
angles (deg): 90.00 90.00 90.00
Fractional positions:
Ca: 0.000 0.000 0.000
Cr: 0.000 0.500 0.603
In: 0.500 0.000 0.502
In: 0.500 0.500 0.140

[5]
A relaxed LiSiAgRh crystal, computed with PBE.

DFT total energy: -4.749 eV per atom
N(E_F): 0.505 states/eV/atom

a b c (Å): 6.000 6.000 6.000
angles (deg): 90.00 90.00 90.00
Fractional positions:
Li: 0.000 0.000 0.000
Li: 0.000 0.500 0.500
Li: 0.500 0.000 0.500
Li: 0.500 0.500 0.000
Si: 0.000 0.000 0.500
Si: 0.000 0.500 0.000
Si: 0.500 0.000 0.000
Si: 0.500 0.500 0.500
Ag: 0.250 0.250 0.750
Ag: 0.250 0.750 0.250
Ag: 0.750 0.250 0.250
Ag: 0.750 0.750 0.750
Rh: 0.250 0.250 0.250
Rh: 0.250 0.750 0.750
Rh: 0.750 0.250 0.750
Rh: 0.750 0.750 0.250

[6]
A relaxed CaTa4Os5 crystal, computed with PBE.

Calculated formation energy: -202 meV per atom
DFT total energy: -10.759 eV per atom
N(E_F): 0.495 states/eV/atom

a b c (Å): 3.152 3.152 17.207
angles (deg): 90.00 90.00 90.00
Fractional positions:
Ca: 0.000 0.000 0.000
Ta: 0.000 0.000 0.209
Ta: 0.000 0.000 0.404
Ta: 0.000 0.000 0.596
Ta: 0.000 0.000 0.791
Os: 0.500 0.500 0.127
Os: 0.500 0.500 0.311
Os: 0.500 0.500 0.500
Os: 0.500 0.500 0.689
Os: 0.500 0.500 0.873

[7]
A relaxed K2LiMoBr6 crystal, computed with PBE.

Distance to the lowest polymorph of the same formula: 20 meV per atom
DFT total energy: -3.673 eV per atom

a b c (Å): 7.553 7.553 7.553
angles (deg): 60.00 60.00 60.00
Fractional positions:
K: 0.250 0.250 0.250
K: 0.750 0.750 0.750
Li: 0.000 0.000 0.000
Mo: 0.500 0.500 0.500
Br: 0.256 0.256 0.744
Br: 0.256 0.744 0.256
Br: 0.256 0.744 0.744
Br: 0.744 0.256 0.256
Br: 0.744 0.256 0.744
Br: 0.744 0.744 0.256

[8]
A relaxed Pr3HoTh2S6 crystal, computed with PBE.

DFT total energy: -6.815 eV per atom
N(E_F): 0.589 states/eV/atom

a b c (Å): 7.005 7.005 7.020
angles (deg): 99.61 99.61 119.87
Fractional positions:
Pr: 0.000 0.000 0.000
Pr: 0.331 0.669 0.000
Pr: 0.669 0.331 0.000
Ho: 0.500 0.500 0.500
Th: 0.167 0.833 0.500
Th: 0.833 0.167 0.500
S: 0.095 0.420 0.261
S: 0.256 0.256 0.742
S: 0.420 0.095 0.261
S: 0.580 0.905 0.739
S: 0.744 0.744 0.258
S: 0.905 0.580 0.739

no.,size of the total moment (μB per cell)
1,0.96
2,0.00
3,0.00
4,4.18
5,0.00
6,0.00
7,3.00
8,0.00